(1)
VASP calculation (PBE-GGA) on HfBi2Rh2 after structural relaxation.

The total energy is -6.6489 eV/atom. The spin magnetization is 0.0 μB/f.u. The density comes out at 12.49 Mg/m³.

The structure belongs to space group P4/mbm (No. 127); the cell edges are 7.044, 7.044 and 4.301 Å and the angles 90.00°, 90.00° and 90.00°. The inequivalent atoms are Hf at (0.000, 0.000, 0.000), Bi at (0.172, 0.328, 0.500) and Rh at (0.138, 0.638, 0.000).

(2)
VASP calculation (PBE-GGA) on Cs2TlH after structural relaxation.

The total energy is -1.5544 eV/atom. The spin magnetization is 1.8 μB/f.u. The density comes out at 4.45 Mg/m³. For the offset from the most stable computed form, the calculation gives 277 meV per atom.

The structure belongs to space group Fm-3m (No. 225); the cell edges are 8.896, 8.896 and 8.896 Å and the angles 90.00°, 90.00° and 90.00°. The inequivalent atoms are Cs at (0.250, 0.250, 0.250), Tl at (0.000, 0.000, 0.000) and H at (0.000, 0.000, 0.500).